# 1
Rb3Cd2Hg, relaxed, DFT PBE-GGA; ΔH_f (0 K) = -7.96 kJ per mole of atoms; M_tot = 0.0 μB/f.u.; space-group type = C2/c (15); DOS at the Fermi energy = 0.634 states/eV per atom
1.0
8.1975 0.3599 1.4655
-0.0270 8.2053 1.4655
0.0882 0.0925 8.8198
Cd Hg Rb
4 2 6
Cartesian
4.4458 0.7112 2.0597
3.8128 7.9465 9.6911
0.5449 4.5207 6.4696
7.7137 4.1370 5.2812
5.6516 2.8326 3.6704
2.6071 5.8251 8.0803
5.2750 3.2801 8.0803
7.3123 6.5955 11.0851
6.1993 7.5689 6.6752
2.0594 1.0888 5.0755
2.9836 5.3776 3.6704
0.9463 2.0622 0.6656


# 2
RbCdHg3, relaxed, DFT PBE-GGA; ΔH_f (0 K) = -9.98 kJ per mole of atoms; M_tot = 0.0 μB/f.u.; space-group type = Pm-3m (221); energy above the lowest structure with this stoichiometry = 0.26 eV/f.u.; DOS at the Fermi energy = 0.591 states/eV per atom
1.0
-0.6117 1.2639 -5.5587
-5.6678 0.4639 0.7292
0.6105 5.5730 1.1999
Rb Hg Cd
1 3 1
Cartesian
-2.8345 3.6504 -1.8148
-0.3058 0.6319 -2.7794
0.3053 2.7865 0.6000
-2.8339 0.2320 0.3646
0.0000 0.0000 0.0000


# 3
RbCd10Hg2, relaxed, DFT PBE-GGA; ΔH_f (0 K) = -2.27 kJ per mole of atoms; M_tot = 0.0 μB/f.u.; space-group type = Cmcm (63); DOS at the Fermi energy = 0.308 states/eV per atom
1.0
7.9946 -0.1122 0.0000
-1.2947 7.8899 0.0000
0.0000 0.0000 10.4296
Cd Hg Rb
20 4 2
Cartesian
5.9129 4.6831 7.8222
1.4560 1.6902 0.0000
3.5380 1.7758 2.6074
4.4058 2.9793 9.9469
6.5738 1.1117 1.1278
5.4675 4.0157 2.6074
2.2942 4.7983 0.4827
1.2324 3.7619 7.8222
2.2942 4.7983 4.7321
3.7560 6.5411 2.6074
0.7870 3.0946 2.6074
3.1619 6.0018 7.8222
6.5738 1.1117 4.0870
2.9440 1.2366 7.8222
5.2439 6.0875 5.2148
5.2439 6.0875 0.0000
1.4560 1.6902 5.2148
0.1261 6.6659 9.3018
0.1261 6.6659 6.3426
4.4058 2.9793 5.6975
3.9973 -0.0561 0.0000
-0.6474 3.9450 0.0000
3.9973 -0.0561 5.2148
-0.6474 3.9450 5.2148
6.7963 0.9200 7.8222
-0.0964 6.8576 2.6074


# 4
Rb3CdHg2, relaxed, DFT PBE-GGA; ΔH_f (0 K) = -13.61 kJ per mole of atoms; M_tot = 0.0 μB/f.u.; space-group type = P2_1/c (14); energy above the lowest structure with this stoichiometry = 0.00 eV/f.u.; DOS at the Fermi energy = 0.643 states/eV per atom
1.0
8.4819 0.0000 -4.0698
0.0000 10.4453 0.0000
-1.1451 0.0000 12.9734
Rb Hg Cd
12 8 4
Cartesian
3.0849 5.6713 -0.1975
6.2503 6.3512 2.7306
-0.6176 2.9600 10.8471
1.0866 4.0941 6.1731
6.7533 9.9967 4.2543
0.5835 0.4486 4.6493
7.9544 7.4853 -1.9434
4.1959 2.2626 2.3255
3.1409 8.1826 6.5781
1.4368 9.3167 11.2522
4.2519 4.7740 9.1012
5.9001 1.1286 -2.3485
2.6516 5.8640 3.4159
0.7556 6.3706 9.1322
1.7677 1.1480 8.2930
6.5812 4.0747 -0.2286
1.0168 0.6413 1.0359
4.6852 4.5813 5.4878
6.3200 9.8040 7.8677
5.5691 9.2973 0.6106
3.1030 8.8460 2.3302
0.5654 3.6234 2.1216
6.7715 6.8219 6.7820
4.2338 1.5993 6.5735